VASP calculation (PBE+U) on a relaxed SrVTeO6 crystal.

## Properties
DFT total energy: -6.5957 eV per atom
space group: No. 163
magnetization: 1.0 μB/f.u.
Fermi-level density of states: 0.00 states/eV per cell

a = 5.239 Å, b = 5.239 Å, c = 10.825 Å
α = 90.00°, β = 90.00°, γ = 120.00°
Each line ends with the local moment (μB).
Atoms (fractional coordinates):
Sr: 0.000 0.000 0.000  0.00
Sr: 0.000 0.000 0.500  0.00
V: 0.667 0.333 0.250  1.01
V: 0.333 0.667 0.750  1.01
Te: 0.333 0.667 0.250  0.02
Te: 0.667 0.333 0.750  0.02
O: 0.613 0.615 0.148  -0.01
O: 0.002 0.387 0.148  -0.01
O: 0.387 0.002 0.648  -0.01
O: 0.998 0.613 0.852  -0.01
O: 0.385 0.387 0.352  -0.01
O: 0.002 0.615 0.352  -0.01
O: 0.615 0.002 0.852  -0.01
O: 0.613 0.998 0.352  -0.01
O: 0.998 0.385 0.648  -0.01
O: 0.385 0.998 0.148  -0.01
O: 0.615 0.613 0.648  -0.01
O: 0.387 0.385 0.852  -0.01